(1)
SrTlCd2 at its PBEsol-relaxed geometry, computed with SCAN.

For the volume, the calculation gives 408.7 Å³ per cell. For the formation energy from the elements, the calculation gives -291 meV per atom. The value obtained for the density of states at the Fermi level is 5.32 states/eV per cell.

It has space group F-43m (No. 216), with a = 7.421 Å, b = 7.421 Å, c = 7.421 Å, α = 90.00°, β = 90.00° and γ = 90.00°. The distinct sites, in fractional coordinates, are Sr at (0.000, 0.000, 0.000), Tl at (0.250, 0.250, 0.250), Cd at (0.000, 0.000, 0.500) and Cd at (0.250, 0.250, 0.750).

=====

(2)
NbPCl2F at its PBEsol-relaxed geometry, computed with SCAN.

For the volume, the calculation gives 86.3 Å³ per cell. The final energy comes out at -62.05 eV for the cell shown. The value obtained for the density of states at the Fermi level is 3.96 states/eV per cell.

It has space group P4/mmm (No. 123), with a = 4.900 Å, b = 4.900 Å, c = 3.593 Å, α = 90.00°, β = 90.00° and γ = 90.00°. The distinct sites, in fractional coordinates, are Nb at (0.000, 0.000, 0.000), P at (0.500, 0.500, 0.000), Cl at (0.000, 0.500, 0.500) and F at (0.500, 0.500, 0.500).

=====

(3)
Mo3Se at its PBEsol-relaxed geometry, computed with SCAN.

For the volume, the calculation gives 120.0 Å³ per cell. The final energy comes out at -247.30 eV for the cell shown. The value obtained for the density of states at the Fermi level is 6.77 states/eV per cell.

It has space group Immm (No. 71), with a = 3.121 Å, b = 4.268 Å, c = 9.006 Å, α = 90.00°, β = 90.00° and γ = 90.00°. The distinct sites, in fractional coordinates, are Mo at (0.000, 0.000, 0.000), Mo at (0.000, 0.500, 0.243) and Se at (0.000, 0.000, 0.500).

=====

(4)
LiBi3O at its PBEsol-relaxed geometry, computed with SCAN.

For the volume, the calculation gives 121.7 Å³ per cell. The final energy comes out at -241.42 eV for the cell shown. The value obtained for the density of states at the Fermi level is 2.92 states/eV per cell.

It has space group Pm-3m (No. 221), with a = 4.955 Å, b = 4.955 Å, c = 4.955 Å, α = 90.00°, β = 90.00° and γ = 90.00°. The distinct sites, in fractional coordinates, are Li at (0.000, 0.000, 0.000), Bi at (0.000, 0.000, 0.500) and O at (0.500, 0.500, 0.500).

=====

(5)
Li2SmAl at its PBEsol-relaxed geometry, computed with SCAN.

For the volume, the calculation gives 304.7 Å³ per cell. For the formation energy from the elements, the calculation gives -202 meV per atom. The value obtained for the density of states at the Fermi level is 3.62 states/eV per cell.

It has space group Fm-3m (No. 225), with a = 6.729 Å, b = 6.729 Å, c = 6.729 Å, α = 90.00°, β = 90.00° and γ = 90.00°. The distinct sites, in fractional coordinates, are Li at (0.250, 0.250, 0.250), Sm at (0.000, 0.000, 0.000) and Al at (0.000, 0.000, 0.500).

=====

(6)
Tl2OsRh at its PBEsol-relaxed geometry, computed with SCAN.

For the volume, the calculation gives 141.1 Å³ per cell. As for the energy above the most stable polymorph in this dataset: 0 meV/atom. For the formation energy from the elements, the calculation gives 945 meV per atom. The value obtained for the density of states at the Fermi level is 8.53 states/eV per cell.

It has space group I-4m2 (No. 119), with a = 3.992 Å, b = 3.992 Å, c = 8.856 Å, α = 90.00°, β = 90.00° and γ = 90.00°. The distinct sites, in fractional coordinates, are Tl at (0.000, 0.000, 0.000), Tl at (0.000, 0.500, 0.250), Os at (0.000, 0.000, 0.500) and Rh at (0.000, 0.500, 0.750).

=====

(7)
LaPt2I at its PBEsol-relaxed geometry, computed with SCAN.

For the volume, the calculation gives 352.1 Å³ per cell. The final energy comes out at -886.44 eV for the cell shown. The value obtained for the density of states at the Fermi level is 11.07 states/eV per cell.

It has space group Fm-3m (No. 225), with a = 7.061 Å, b = 7.061 Å, c = 7.061 Å, α = 90.00°, β = 90.00° and γ = 90.00°. The distinct sites, in fractional coordinates, are La at (0.000, 0.000, 0.000), Pt at (0.250, 0.250, 0.250) and I at (0.000, 0.000, 0.500).

=====

(8)
TlC2 at its PBEsol-relaxed geometry, computed with SCAN.

For the volume, the calculation gives 174.9 Å³ per cell. As for the energy above the most stable polymorph in this dataset: 896 meV/atom. For the formation energy from the elements, the calculation gives 1787 meV per atom. The value obtained for the density of states at the Fermi level is 6.74 states/eV per cell.

It has space group I4/mcm (No. 140), with a = 5.191 Å, b = 5.191 Å, c = 6.491 Å, α = 90.00°, β = 90.00° and γ = 90.00°. The distinct sites, in fractional coordinates, are Tl at (0.000, 0.000, 0.250) and C at (0.087, 0.413, 0.000).

=====

(9)
Zr2ScGeBr at its PBEsol-relaxed geometry, computed with SCAN.

For the volume, the calculation gives 125.0 Å³ per cell. The final energy comes out at -109.72 eV for the cell shown. The value obtained for the density of states at the Fermi level is 5.64 states/eV per cell.

It has space group P4/mmm (No. 123), with a = 5.167 Å, b = 5.167 Å, c = 4.683 Å, α = 90.00°, β = 90.00° and γ = 90.00°. The distinct sites, in fractional coordinates, are Zr at (0.000, 0.500, 0.000), Sc at (0.000, 0.000, 0.000), Ge at (0.500, 0.500, 0.500) and Br at (0.000, 0.000, 0.500).

=====

(10)
La3MgTc at its PBEsol-relaxed geometry, computed with SCAN.

For the volume, the calculation gives 159.9 Å³ per cell. For the formation energy from the elements, the calculation gives -29 meV per atom. The value obtained for the density of states at the Fermi level is 6.10 states/eV per cell.

It has space group Pm-3m (No. 221), with a = 5.427 Å, b = 5.427 Å, c = 5.427 Å, α = 90.00°, β = 90.00° and γ = 90.00°. The distinct sites, in fractional coordinates, are La at (0.000, 0.000, 0.500), Mg at (0.500, 0.500, 0.500) and Tc at (0.000, 0.000, 0.000).

=====

(11)
ScZn2Sb at its PBEsol-relaxed geometry, computed with SCAN.

For the volume, the calculation gives 310.3 Å³ per cell. The final energy comes out at -314.99 eV for the cell shown. The value obtained for the density of states at the Fermi level is 15.71 states/eV per cell.

It has space group F-43m (No. 216), with a = 6.770 Å, b = 6.770 Å, c = 6.770 Å, α = 90.00°, β = 90.00° and γ = 90.00°. The distinct sites, in fractional coordinates, are Sc at (0.000, 0.000, 0.000), Zn at (0.000, 0.000, 0.500), Zn at (0.250, 0.250, 0.250) and Sb at (0.250, 0.250, 0.750).

=====

(12)
LiFePO4 at its PBEsol-relaxed geometry, computed with SCAN.

For the volume, the calculation gives 300.1 Å³ per cell. As for the energy above the most stable polymorph in this dataset: 76 meV/atom.

It has space group P6_222 (No. 180), with a = 5.2025 Å, b = 5.2025 Å, c = 12.8043 Å, α = 90.00°, β = 90.00° and γ = 120.00°. The distinct sites, in fractional coordinates, are Li at (0.0000, 0.0000, 0.0000), Fe at (0.0000, 0.5000, 0.1667), P at (0.0000, 0.5000, 0.6667) and O at (0.1832, 0.4025, 0.7339).